{
  "formula": "RbLi2PrBr6",
  "functional": "PBE",
  "state": "optimized geometry",
  "total_energy_ev_per_atom": -3.654,
  "e_form_raw_ev_per_atom": -1.6924,
  "magmom_total_mub_per_atom": 0.0000,
  "volume_a3_per_atom": 32.1,
  "crystal_system": "trigonal",
  "lattice_angstrom": [[3.708, 2.141, 6.739], [-3.708, 2.141, 6.739], [0.000, -4.282, 6.739]],
  "species": ["Rb", "Li", "Li", "Pr", "Br", "Br", "Br", "Br", "Br", "Br"],
  "fractional_positions": [[0.000, 0.000, 0.000], [0.274, 0.274, 0.274], [0.783, 0.783, 0.783], [0.474, 0.474, 0.474], [0.047, 0.600, 0.476], [0.179, 0.532, 0.896], [0.476, 0.047, 0.600], [0.532, 0.896, 0.179], [0.600, 0.476, 0.047], [0.896, 0.179, 0.532]]
}